(1)
The following is a PBE calculation of a relaxed NaTiCu2Se4 crystal, from Alexandria.

The structure belongs to space group I-42m (No. 121); the cell edges are 6.0880, 6.0880 and 10.5698 Å and the angles 90.00°, 90.00° and 90.00°. The inequivalent atoms are Na at (0.0000, 0.0000, 0.0000), Ti at (0.0000, 0.0000, 0.5000), Cu at (0.0000, 0.5000, 0.2500) and Se at (0.2199, 0.2199, 0.3588).

As for the electronic total energy: -72.39 eV per cell. For the total moment, the calculation gives 0.0 μB per cell.


(2)
The following is a PBE calculation of a relaxed PrTiGe crystal, from Alexandria.

The structure belongs to space group P4/nmm (No. 129, origin choice 2); the cell edges are 4.1549, 4.1549 and 7.9867 Å and the angles 90.00°, 90.00° and 90.00°. The inequivalent atoms are Pr at (0.2500, 0.2500, 0.1550), Ti at (0.2500, 0.7500, 0.5000) and Ge at (0.2500, 0.2500, 0.7220).

For the formation energy, the calculation gives -1.9 eV per formula unit. For the total moment, the calculation gives 1.7 μB per cell.


(3)
The following is a PBE calculation of a relaxed TbAlCu crystal, from Alexandria.

The structure belongs to space group I4mm (No. 107); the cell edges are 3.2007, 3.2007 and 11.1205 Å and the angles 90.00°, 90.00° and 90.00°. The inequivalent atoms are Tb at (0.0000, 0.0000, 0.0000), Al at (0.0000, 0.0000, 0.7010) and Cu at (0.0000, 0.0000, 0.3165).

For the formation energy, the calculation gives -0.7 eV per formula unit. For the total moment, the calculation gives 0.0 μB per cell.


(4)
The following is a PBE calculation of a relaxed BaV2SiPd crystal, from Alexandria.

The structure belongs to space group P4/mmm (No. 123); the cell edges are 4.9614, 4.9614 and 5.2978 Å and the angles 90.00°, 90.00° and 90.00°. The inequivalent atoms are Ba at (0.0000, 0.0000, 0.0000), V at (0.0000, 0.5000, 0.0000), Si at (0.0000, 0.0000, 0.5000) and Pd at (0.5000, 0.5000, 0.5000).

As for the electronic total energy: -18.89 eV per cell. For the total moment, the calculation gives 4.6 μB per cell.